[1]
Entry from Alexandria: NaHgH2F6 after structural relaxation (GGA-PBE).

The electronic total energy comes out at -3.60 eV/atom.

Unit cell a=11.2498 b=9.3608 c=6.0407 alpha=90.00 beta=119.68 gamma=90.00
Closest atoms and distances in Å follow each position.
Space group C2/c (No. 15)
Inequivalent atoms, fractional coordinates:
1 Na 0.0000 0.0981 0.2500 (multiplicity 4)  6 F 2.31-2.41
2 Hg 0.0000 0.3735 0.7500 (multiplicity 4)  4 F 2.07-2.17
3 H 0.2416 0.0271 0.7953 (multiplicity 8)  1 F 1.00
4 F 0.0991 0.2311 0.0483 (multiplicity 8)  1 Hg 2.07
5 F 0.1287 0.4685 0.5273 (multiplicity 8)  1 H 1.42
6 F 0.1464 0.0601 0.6785 (multiplicity 8)  1 H 1.00

***

[2]
Entry from Alexandria: TcTe2Pt after structural relaxation (GGA-PBE).

The electronic total energy comes out at -5.63 eV/atom. Its density of states at the Fermi level is 3.65 states/eV/cell.

Unit cell a=3.6269 b=3.6269 c=7.0710 alpha=90.00 beta=90.00 gamma=90.00
Closest atoms and distances in Å follow each position.
Space group P4mm (No. 99)
Inequivalent atoms, fractional coordinates:
1 Tc 0.0000 0.0000 0.0000 (multiplicity 1)  5 Te 2.61-2.80
2 Te 0.0000 0.0000 0.6313 (multiplicity 1)  1 Tc 2.61, 4 Pt 2.76
3 Te 0.5000 0.5000 0.1577 (multiplicity 1)  1 Pt 2.71, 4 Tc 2.80
4 Pt 0.5000 0.5000 0.7751 (multiplicity 1)  5 Te 2.71-2.76, 4 Tc 3.02